Entry 1:
# GdPuPt2 (PBE-GGA, relaxed)
data_GdPuPt2
_symmetry_space_group_name_H-M 'P 1'
_symmetry_Int_Tables_number 1
_symmetry_space_group_name_Hall 'P 1'
_cell_length_a 3.4564
_cell_length_b 5.0239
_cell_length_c 5.0239
_cell_angle_alpha 90.00
_cell_angle_beta 90.00
_cell_angle_gamma 90.00
loop_
_atom_site_label
_atom_site_fract_x
_atom_site_fract_y
_atom_site_fract_z
Gd1 0.5000 0.0000 0.0000
Pt1 0.0000 0.0000 0.5000
Pt2 0.0000 0.5000 0.0000
Pu1 0.5000 0.5000 0.5000
# * formation energy from the elements: -0.9387 eV/atom
# * symmetry: P4/mmm (123)
# * calculated total energy: -11.06 eV/atom

---

Entry 2:
# Nd3HoTh2Sb6 (PBE-GGA, relaxed)
data_Nd3HoTh2Sb6
_symmetry_space_group_name_H-M 'P 1'
_symmetry_Int_Tables_number 1
_symmetry_space_group_name_Hall 'P 1'
_cell_length_a 4.5002
_cell_length_b 8.9859
_cell_length_c 10.0585
_cell_angle_alpha 103.10
_cell_angle_beta 102.93
_cell_angle_gamma 90.00
loop_
_atom_site_label
_atom_site_fract_x
_atom_site_fract_y
_atom_site_fract_z
Nd1 0.5000 0.5000 0.0000
Nd2 0.8329 0.1658 0.6657
Nd3 0.1671 0.8342 0.3343
Ho1 0.5000 0.0000 0.0000
Th1 0.8353 0.6694 0.6706
Th2 0.1647 0.3306 0.3294
Sb1 0.3362 0.9179 0.6724
Sb2 0.6675 0.5825 0.3350
Sb3 0.6638 0.0821 0.3276
Sb4 0.9994 0.2427 0.9989
Sb5 0.0006 0.7573 0.0011
Sb6 0.3325 0.4175 0.6650
# * symmetry: C2/m (12)
# * formation energy from raw total energies: -105.6 kJ/mol of atoms
# * calculated total energy: -5.97 eV/atom

---

Entry 3:
# Cs3SnHg2Br9 (PBE-GGA, relaxed)
data_Cs3SnHg2Br9
_symmetry_space_group_name_H-M 'P 1'
_symmetry_Int_Tables_number 1
_symmetry_space_group_name_Hall 'P 1'
_cell_length_a 8.1048
_cell_length_b 8.1048
_cell_length_c 9.9229
_cell_angle_alpha 90.00
_cell_angle_beta 90.00
_cell_angle_gamma 120.00
loop_
_atom_site_label
_atom_site_fract_x
_atom_site_fract_y
_atom_site_fract_z
Cs1 0.3333 0.6667 0.6725
Cs2 0.0000 0.0000 0.0000
Cs3 0.6667 0.3333 0.3275
Sn1 0.0000 0.0000 0.5000
Hg1 0.3333 0.6667 0.1618
Hg2 0.6667 0.3333 0.8382
Br1 0.8324 0.1676 0.6682
Br2 0.8324 0.6649 0.6682
Br3 0.3351 0.1676 0.6682
Br4 0.6649 0.8324 0.3318
Br5 0.1676 0.3351 0.3318
Br6 0.1676 0.8324 0.3318
Br7 0.5000 0.0000 0.0000
Br8 0.0000 0.5000 0.0000
Br9 0.5000 0.5000 0.0000
# * symmetry: P-3m1 (164)
# * formation energy from raw total energies: -103.5 kJ/mol of atoms
# * calculated total energy: -2.55 eV/atom

---

Entry 4:
# MnCdP2 (PBE-GGA, relaxed)
data_MnCdP2
_symmetry_space_group_name_H-M 'P 1'
_symmetry_Int_Tables_number 1
_symmetry_space_group_name_Hall 'P 1'
_cell_length_a 6.7395
_cell_length_b 6.7395
_cell_length_c 3.5597
_cell_angle_alpha 74.71
_cell_angle_beta 74.71
_cell_angle_gamma 24.07
loop_
_atom_site_label
_atom_site_fract_x
_atom_site_fract_y
_atom_site_fract_z
Cd1 0.5615 0.5615 0.4391
Mn1 0.2842 0.2842 0.2155
P1 0.9231 0.9231 0.0771
P2 0.7312 0.7312 0.7684
# * formation energy from the elements: 0.0414 eV/atom
# * symmetry: Imm2 (44)
# * calculated total energy: -5.18 eV/atom

---

Entry 5:
# Rb2RuBr2F4 (PBE-GGA, relaxed)
data_Rb2RuBr2F4
_symmetry_space_group_name_H-M 'P 1'
_symmetry_Int_Tables_number 1
_symmetry_space_group_name_Hall 'P 1'
_cell_length_a 6.6129
_cell_length_b 6.6129
_cell_length_c 6.6129
_cell_angle_alpha 97.14
_cell_angle_beta 115.97
_cell_angle_gamma 115.97
loop_
_atom_site_label
_atom_site_fract_x
_atom_site_fract_y
_atom_site_fract_z
Rb1 0.5000 0.7500 0.2500
Rb2 0.5000 0.2500 0.7500
Ru1 0.0000 0.0000 0.0000
Br1 0.0000 0.7142 0.7142
Br2 0.0000 0.2858 0.2858
F1 0.0000 0.8025 0.1975
F2 0.6049 0.8025 0.8025
F3 0.0000 0.1975 0.8025
F4 0.3951 0.1975 0.1975
# * symmetry: I4/mmm (139)
# * formation energy from raw total energies: -177.7 kJ/mol of atoms
# * calculated total energy: -4.29 eV/atom

---

Entry 6:
# Sr2Ag3Pb (PBE-GGA, relaxed)
data_Sr2Ag3Pb
_symmetry_space_group_name_H-M 'P 1'
_symmetry_Int_Tables_number 1
_symmetry_space_group_name_Hall 'P 1'
_cell_length_a 4.5269
_cell_length_b 4.6222
_cell_length_c 9.2563
_cell_angle_alpha 104.46
_cell_angle_beta 104.15
_cell_angle_gamma 90.00
loop_
_atom_site_label
_atom_site_fract_x
_atom_site_fract_y
_atom_site_fract_z
Sr1 0.1298 0.1298 0.2595
Sr2 0.8661 0.3661 0.7321
Ag1 0.7049 0.7049 0.4097
Ag2 0.5476 0.5476 0.0953
Ag3 0.2925 0.7925 0.5849
Pb1 0.4592 0.9592 0.9184
# * formation energy from the elements: -0.2658 eV/atom
# * symmetry: Imm2 (44)
# * calculated total energy: -2.87 eV/atom

---

Entry 7:
# BaIn3Se (PBE-GGA, relaxed)
data_BaIn3Se
_symmetry_space_group_name_H-M 'P 1'
_symmetry_Int_Tables_number 1
_symmetry_space_group_name_Hall 'P 1'
_cell_length_a 6.3982
_cell_length_b 6.3982
_cell_length_c 6.3982
_cell_angle_alpha 90.00
_cell_angle_beta 90.00
_cell_angle_gamma 90.00
loop_
_atom_site_label
_atom_site_fract_x
_atom_site_fract_y
_atom_site_fract_z
Ba1 0.0000 0.0000 0.0000
Se1 0.5000 0.5000 0.5000
In1 0.0000 0.5000 0.0000
In2 0.0000 0.0000 0.5000
In3 0.5000 0.0000 0.0000
# * symmetry: Pm-3m (221)
# * formation energy from raw total energies: 79.9 kJ/mol of atoms
# * calculated total energy: -1.90 eV/atom

---

Entry 8:
# Hf2Cd2Ga (PBE-GGA, relaxed)
data_Hf2Cd2Ga
_symmetry_space_group_name_H-M 'P 1'
_symmetry_Int_Tables_number 1
_symmetry_space_group_name_Hall 'P 1'
_cell_length_a 7.8081
_cell_length_b 7.8081
_cell_length_c 3.4889
_cell_angle_alpha 90.00
_cell_angle_beta 90.00
_cell_angle_gamma 90.00
loop_
_atom_site_label
_atom_site_fract_x
_atom_site_fract_y
_atom_site_fract_z
Hf1 0.1749 0.6749 0.5000
Hf2 0.6749 0.8251 0.5000
Hf3 0.8251 0.3251 0.5000
Hf4 0.3251 0.1749 0.5000
Ga1 0.0000 0.0000 0.0000
Ga2 0.5000 0.5000 0.0000
Cd1 0.3743 0.8743 0.0000
Cd2 0.8743 0.6257 0.0000
Cd3 0.6257 0.1257 0.0000
Cd4 0.1257 0.3743 0.0000
# * formation energy from the elements: 0.2297 eV/atom
# * symmetry: P4/mbm (127)
# * calculated total energy: -4.72 eV/atom

---

Entry 9:
# BaTc2Mo (PBE-GGA, relaxed)
data_BaTc2Mo
_symmetry_space_group_name_H-M 'P 1'
_symmetry_Int_Tables_number 1
_symmetry_space_group_name_Hall 'P 1'
_cell_length_a 9.9372
_cell_length_b 9.9372
_cell_length_c 9.9372
_cell_angle_alpha 17.96
_cell_angle_beta 17.96
_cell_angle_gamma 17.96
loop_
_atom_site_label
_atom_site_fract_x
_atom_site_fract_y
_atom_site_fract_z
Ba1 0.5014 0.5014 0.5014
Mo1 0.7293 0.7293 0.7293
Tc1 0.0003 0.0003 0.0003
Tc2 0.2689 0.2689 0.2689
# * formation energy from the elements: 0.9834 eV/atom
# * symmetry: R3m (160)
# * calculated total energy: -7.39 eV/atom

---

Entry 10:
# AlPb2S (PBE-GGA, relaxed)
data_AlPb2S
_symmetry_space_group_name_H-M 'P 1'
_symmetry_Int_Tables_number 1
_symmetry_space_group_name_Hall 'P 1'
_cell_length_a 6.3232
_cell_length_b 6.3232
_cell_length_c 8.1764
_cell_angle_alpha 67.25
_cell_angle_beta 67.25
_cell_angle_gamma 90.00
loop_
_atom_site_label
_atom_site_fract_x
_atom_site_fract_y
_atom_site_fract_z
Pb1 0.6264 0.1250 0.2500
Pb2 0.1236 0.6250 0.2500
Pb3 0.3750 0.3736 0.7500
Pb4 0.8750 0.8764 0.7500
S1 0.0000 0.0000 0.0000
S2 0.7500 0.2500 0.5000
Al1 0.5000 0.5000 0.0000
Al2 0.2500 0.7500 0.5000
# * symmetry: I-42d (122)
# * formation energy from raw total energies: 18.0 kJ/mol of atoms
# * calculated total energy: -3.63 eV/atom

---

Entry 11:
# Li2Sm3Pd4 (PBE-GGA, relaxed)
data_Li2Sm3Pd4
_symmetry_space_group_name_H-M 'P 1'
_symmetry_Int_Tables_number 1
_symmetry_space_group_name_Hall 'P 1'
_cell_length_a 4.2622
_cell_length_b 5.5518
_cell_length_c 8.7701
_cell_angle_alpha 97.21
_cell_angle_beta 90.00
_cell_angle_gamma 112.57
loop_
_atom_site_label
_atom_site_fract_x
_atom_site_fract_y
_atom_site_fract_z
Li1 0.3160 0.6320 0.2132
Li2 0.6840 0.3680 0.7868
Sm1 0.3805 0.7609 0.6222
Sm2 0.0000 0.0000 0.0000
Sm3 0.6195 0.2391 0.3778
Pd1 0.7111 0.4221 0.0887
Pd2 0.0918 0.1836 0.6338
Pd3 0.9082 0.8164 0.3662
Pd4 0.2889 0.5779 0.9113
# * formation energy from the elements: -0.6409 eV/atom
# * symmetry: C2/m (12)
# * calculated total energy: -4.95 eV/atom